# 1
Density functional theory data (GGA-PBE) for an optimized crystal structure of CuTe2Se2.

- Magnetization: 0.00 μB/f.u.
- Uncorrected energy: -69.64 eV/cell
- E_form (uncorrected): -0.01 eV per atom
- N(E_F): 0.426 states/eV/atom
- Theoretical density: 5.72 g/cm3

a b c (Å): 11.500 5.362 8.986
angles (deg): 90.00 91.17 90.00
Space group C2/c (No. 15)
Unique sites:
Cu 0.000 0.134 0.250 (multiplicity 4)
Te 0.113 0.437 0.080 (multiplicity 8)
Se 0.143 0.168 0.830 (multiplicity 8)

# 2
Density functional theory data (GGA-PBE) for an optimized crystal structure of CuTe2Se.

- Magnetization: 0.00 μB/f.u.
- Uncorrected energy: -52.44 eV/cell
- E_form (uncorrected): 0.19 eV per atom
- N(E_F): 0.638 states/eV/atom
- Theoretical density: 5.42 g/cm3

a b c (Å): 5.965 5.965 13.703
angles (deg): 90.00 90.00 90.00
Space group I-42d (No. 122)
Unique sites:
Cu 0.000 0.000 0.000 (multiplicity 4)
Te 0.205 0.250 0.125 (multiplicity 8)
Se 0.000 0.000 0.500 (multiplicity 4)

# 3
Density functional theory data (GGA-PBE) for an optimized crystal structure of Cu2TeSe2.

- Magnetization: 0.00 μB/f.u.
- Uncorrected energy: -33.42 eV/cell
- E_form (uncorrected): 0.32 eV per atom
- N(E_F): 0.930 states/eV/atom
- Theoretical density: 7.04 g/cm3

a b c (Å): 4.170 4.170 11.200
angles (deg): 90.00 90.00 90.00
Space group I4/mmm (No. 139)
Unique sites:
Cu 0.000 0.000 0.113 (multiplicity 4)
Te 0.000 0.000 0.500 (multiplicity 2)
Se 0.000 0.500 0.250 (multiplicity 4)

# 4
Density functional theory data (GGA-PBE) for an optimized crystal structure of CuTe2Se.

- Magnetization: 0.00 μB/f.u.
- Uncorrected energy: -40.96 eV/cell
- E_form (uncorrected): 0.05 eV per atom
- N(E_F): 0.508 states/eV/atom
- Theoretical density: 7.00 g/cm3

a b c (Å): 4.0023 4.0023 20.3913
angles (deg): 90.00 90.00 120.00
Space group R-3m (No. 166, hexagonal axes)
Unique sites:
Cu 0.0000 0.0000 0.0000 (multiplicity 3)
Te 0.0000 0.0000 0.2648 (multiplicity 6)
Se 0.0000 0.0000 0.5000 (multiplicity 3)

# 5
Density functional theory data (GGA-PBE) for an optimized crystal structure of CuTe2Se2.

- Magnetization: 0.00 μB/f.u.
- Uncorrected energy: -32.24 eV/cell
- E_form (uncorrected): 0.25 eV per atom
- N(E_F): 0.534 states/eV/atom
- Theoretical density: 5.97 g/cm3

a b c (Å): 7.572 7.572 4.627
angles (deg): 90.00 90.00 90.00
Space group P4/mbm (No. 127)
Unique sites:
Cu 0.000 0.000 0.000 (multiplicity 2)
Te 0.203 0.297 0.000 (multiplicity 4)
Se 0.168 0.668 0.500 (multiplicity 4)

# 6
Density functional theory data (GGA-PBE) for an optimized crystal structure of CuTeSe3.

- Magnetization: 0.00 μB/f.u.
- Uncorrected energy: -70.06 eV/cell
- E_form (uncorrected): 0.04 eV per atom
- N(E_F): 0.457 states/eV/atom
- Theoretical density: 4.90 g/cm3

a b c (Å): 15.407 4.738 8.302
angles (deg): 90.00 106.89 90.00
Space group C2/m (No. 12)
Unique sites:
Cu 0.156 0.000 0.381 (multiplicity 4)
Te 0.158 0.500 0.800 (multiplicity 4)
Se 0.003 0.000 0.643 (multiplicity 4)
Se 0.168 0.000 0.086 (multiplicity 4)
Se 0.175 0.500 0.495 (multiplicity 4)